CsRb2HoF6 | PBE | relaxed

Computed properties:
Space group   P2_1/c
Uncorrected formation energy   -3336 meV/atom

Lattice parameters (Å, degrees): 6.712 7.081 9.618 90.00 88.83 90.00
Atoms (fractional coordinates):
Cs 0.500 0.000 0.000
Cs 0.000 0.500 0.500
Rb 0.012 0.957 0.265
Rb 0.512 0.543 0.765
Rb 0.988 0.043 0.735
Rb 0.488 0.457 0.235
Ho 0.500 0.000 0.500
Ho 0.000 0.500 0.000
F 0.272 0.659 0.036
F 0.772 0.841 0.536
F 0.728 0.341 0.964
F 0.228 0.159 0.464
F 0.350 0.752 0.412
F 0.850 0.748 0.912
F 0.650 0.248 0.588
F 0.150 0.252 0.088
F 0.885 0.582 0.206
F 0.385 0.918 0.706
F 0.115 0.418 0.794
F 0.615 0.082 0.294